Entry 1:
Here is a relaxed Sr5I3Cl12 crystal from Alexandria via LeMat-Bulk. Energies are from PBE-GGA.

* space-group type: Ia-3d

Cell: 16.0196 16.0196 16.0196 Å, 109.47 109.47 109.47°
Sites, in units of the cell vectors:
Sr1 0.7500 0.1250 0.8750
Sr2 0.5000 0.5000 0.5000
Sr3 0.2500 0.3750 0.6250
Sr4 0.0000 0.5000 0.0000
Sr5 0.8750 0.2500 0.6250
Sr6 0.0000 0.0000 0.0000
Sr7 0.6250 0.8750 0.2500
Sr8 0.3750 0.1250 0.7500
Sr9 0.3750 0.2500 0.1250
Sr10 0.1250 0.7500 0.3750
Sr11 0.7500 0.6250 0.3750
Sr12 0.2500 0.8750 0.1250
Sr13 0.0000 0.0000 0.5000
Sr14 0.8750 0.6250 0.7500
Sr15 0.0000 0.5000 0.5000
Sr16 0.5000 0.0000 0.5000
Sr17 0.5000 0.0000 0.0000
Sr18 0.5000 0.5000 0.0000
Sr19 0.6250 0.7500 0.8750
Sr20 0.1250 0.3750 0.2500
Cl1 0.3032 0.9456 0.3344
Cl2 0.3576 0.0544 0.8888
Cl3 0.1112 0.6656 0.9687
Cl4 0.3032 0.3576 0.4687
Cl5 0.5313 0.1424 0.6968
Cl6 0.8576 0.3888 0.5544
Cl7 0.0313 0.1968 0.6424
Cl8 0.1424 0.5313 0.1968
Cl9 0.6968 0.6424 0.5313
Cl10 0.8032 0.8344 0.4456
Cl11 0.3888 0.8576 0.0544
Cl12 0.1656 0.9687 0.6112
Cl13 0.8344 0.8032 0.9456
Cl14 0.1112 0.4456 0.6424
Cl15 0.6656 0.5544 0.6968
Cl16 0.9687 0.1656 0.1112
Cl17 0.6112 0.4687 0.1656
Cl18 0.6112 0.1424 0.9456
Cl19 0.9456 0.6424 0.6112
Cl20 0.6424 0.6968 0.0313
Cl21 0.8344 0.0313 0.3888
Cl22 0.0313 0.8344 0.8888
Cl23 0.4687 0.6112 0.6656
Cl24 0.5313 0.3888 0.3344
Cl25 0.8888 0.3344 0.0313
Cl26 0.3344 0.4456 0.3032
Cl27 0.4456 0.3344 0.8032
Cl28 0.8576 0.4687 0.8032
Cl29 0.1968 0.1656 0.5544
Cl30 0.4456 0.1112 0.1424
Cl31 0.3888 0.5313 0.8344
Cl32 0.5544 0.6656 0.1968
Cl33 0.8888 0.5544 0.3576
Cl34 0.3344 0.8888 0.5313
Cl35 0.5544 0.8888 0.8576
Cl36 0.3576 0.3032 0.9687
Cl37 0.6656 0.1112 0.4687
Cl38 0.1424 0.6112 0.4456
Cl39 0.0544 0.6968 0.1656
Cl40 0.1968 0.0313 0.1424
Cl41 0.8032 0.9687 0.8576
Cl42 0.4687 0.8576 0.3032
Cl43 0.1656 0.1968 0.0544
Cl44 0.0544 0.3576 0.3888
Cl45 0.6424 0.9456 0.1112
Cl46 0.9456 0.3032 0.8344
Cl47 0.9687 0.8032 0.3576
Cl48 0.6968 0.0544 0.6656
I1 0.1250 0.2500 0.8750
I2 0.6250 0.3750 0.7500
I3 0.8750 0.7500 0.1250
I4 0.2500 0.6250 0.8750
I5 0.6250 0.2500 0.3750
I6 0.7500 0.8750 0.6250
I7 0.2500 0.1250 0.3750
I8 0.8750 0.1250 0.2500
I9 0.3750 0.6250 0.2500
I10 0.1250 0.8750 0.7500
I11 0.7500 0.3750 0.1250
I12 0.3750 0.7500 0.6250

=====

Entry 2:
Here is a relaxed Sr2ICl crystal from Alexandria via LeMat-Bulk. Energies are from PBE-GGA.

* space-group type: I-42d

Cell: 7.2257 7.2257 8.8577 Å, 65.93 65.93 90.00°
Sites, in units of the cell vectors:
Cl1 0.2500 0.7500 0.5000
Cl2 0.5000 0.5000 0.0000
Sr1 0.5800 0.1250 0.2500
Sr2 0.8750 0.8300 0.7500
Sr3 0.1700 0.6250 0.2500
Sr4 0.3750 0.4200 0.7500
I1 0.0000 0.0000 0.0000
I2 0.7500 0.2500 0.5000

=====

Entry 3:
Here is a relaxed Sr2ICl crystal from Alexandria via LeMat-Bulk. Energies are from PBE-GGA.

* space-group type: R3m

Cell: 4.5065 4.5065 11.6332 Å, 78.83 78.83 60.00°
Sites, in units of the cell vectors:
Sr1 0.0889 0.0889 0.7333
Sr2 0.2553 0.2553 0.2341
I1 0.6953 0.6953 0.9142
Cl1 0.4605 0.4605 0.6184

=====

Entry 4:
Here is a relaxed Sr2TeICl crystal from Alexandria via LeMat-Bulk. Energies are from PBE-GGA.

* space-group type: C2/m

Cell: 4.6503 9.4167 10.3588 Å, 104.57 90.00 104.30°
Sites, in units of the cell vectors:
Sr1 0.8419 0.6838 0.1528
Sr2 0.6621 0.3241 0.3284
Sr3 0.3379 0.6759 0.6716
Sr4 0.1581 0.3162 0.8472
Te1 0.7043 0.4087 0.6554
Te2 0.2957 0.5913 0.3446
Cl1 0.3292 0.6583 0.9668
Cl2 0.6708 0.3417 0.0332
I1 0.0284 0.0568 0.2458
I2 0.9716 0.9432 0.7542

=====

Entry 5:
Here is a relaxed SrTlICl2 crystal from Alexandria via LeMat-Bulk. Energies are from PBE-GGA.

* space-group type: P4/mmm

Cell: 5.6033 5.6033 6.5968 Å, 90.00 90.00 90.00°
Sites, in units of the cell vectors:
Cl1 0.0000 0.5000 0.0000
Cl2 0.5000 0.0000 0.0000
I1 0.0000 0.0000 0.5000
Sr1 0.0000 0.0000 0.0000
Tl1 0.5000 0.5000 0.5000

=====

Entry 6:
Here is a relaxed SrTlICl4 crystal from Alexandria via LeMat-Bulk. Energies are from PBE-GGA.

* space-group type: C2/m

Cell: 7.5722 7.5722 10.3347 Å, 77.28 77.28 77.86°
Sites, in units of the cell vectors:
Cl1 0.7954 0.7954 0.5045
Cl2 0.5130 0.1443 0.1004
Cl3 0.5639 0.5639 0.2808
Cl4 0.4361 0.4361 0.7192
Cl5 0.4870 0.8557 0.8996
Cl6 0.8557 0.4870 0.8996
Cl7 0.1443 0.5130 0.1004
Cl8 0.2046 0.2046 0.4955
Tl1 0.3509 0.3509 0.2780
Tl2 0.6491 0.6491 0.7220
Sr1 0.2103 0.2103 0.9368
Sr2 0.7897 0.7897 0.0632
I1 0.9947 0.9947 0.2198
I2 0.0053 0.0053 0.7802

=====

no.,E (eV per atom)
1,-3.332
2,-2.945
3,-3.072
4,-3.879
5,-3.464
6,-3.086